VASP calculation (PBE) on an optimized crystal structure of Dy2YIn.

Unit cell a=3.6066 b=3.6066 c=32.4526 alpha=90.00 beta=90.00 gamma=120.00
Space group R3m (No. 160, hexagonal axes)
Symmetry-distinct sites (fractional):
Dy 0.0000 0.0000 0.0000
Dy 0.0000 0.0000 0.1776
Y 0.0000 0.0000 0.7555
In 0.0000 0.0000 0.5891

## Properties
- excess energy over the best structure of this formula in the dataset (eV/atom) = 0.124
- DFT formation energy (eV per formula unit) = -0.581
- DOS at the Fermi energy (states/eV/cell) = 14.33